# Na12Zn5Ag3, relaxed, DFT PBE
# E = -1.27 eV per atom
# DOS(E_F) = 20.8 states/eV per cell
# magnetization = 0.00 μB per cell
# mass density = 2.314 Mg/m³
# symmetry = Ia-3d
data_Na12Zn5Ag3
_symmetry_space_group_name_H-M 'P 1'
_symmetry_Int_Tables_number 1
_cell_length_a 15.1172
_cell_length_b 15.1172
_cell_length_c 15.1172
_cell_angle_alpha 109.47
_cell_angle_beta 109.47
_cell_angle_gamma 109.47
loop_
_symmetry_equiv_pos_as_xyz
'x,y,z'
loop_
_atom_site_label
_atom_site_type_symbol
_atom_site_fract_x
_atom_site_fract_y
_atom_site_fract_z
Ag1 Ag 0.7500 0.3750 0.1250
Ag2 Ag 0.8750 0.7500 0.1250
Ag3 Ag 0.3750 0.7500 0.6250
Ag4 Ag 0.2500 0.1250 0.3750
Ag5 Ag 0.8750 0.1250 0.2500
Ag6 Ag 0.3750 0.6250 0.2500
Ag7 Ag 0.6250 0.3750 0.7500
Ag8 Ag 0.1250 0.8750 0.7500
Ag9 Ag 0.7500 0.8750 0.6250
Ag10 Ag 0.6250 0.2500 0.3750
Ag11 Ag 0.1250 0.2500 0.8750
Ag12 Ag 0.2500 0.6250 0.8750
Zn1 Zn 0.1250 0.3750 0.2500
Zn2 Zn 0.0000 0.5000 0.0000
Zn3 Zn 0.0000 0.0000 0.0000
Zn4 Zn 0.3750 0.2500 0.1250
Zn5 Zn 0.5000 0.0000 0.5000
Zn6 Zn 0.5000 0.5000 0.0000
Zn7 Zn 0.1250 0.7500 0.3750
Zn8 Zn 0.7500 0.1250 0.8750
Zn9 Zn 0.7500 0.6250 0.3750
Zn10 Zn 0.3750 0.1250 0.7500
Zn11 Zn 0.6250 0.8750 0.2500
Zn12 Zn 0.5000 0.5000 0.5000
Zn13 Zn 0.5000 0.0000 0.0000
Zn14 Zn 0.0000 0.0000 0.5000
Zn15 Zn 0.2500 0.3750 0.6250
Zn16 Zn 0.2500 0.8750 0.1250
Zn17 Zn 0.0000 0.5000 0.5000
Zn18 Zn 0.8750 0.2500 0.6250
Zn19 Zn 0.6250 0.7500 0.8750
Zn20 Zn 0.8750 0.6250 0.7500
Na1 Na 0.7301 0.1325 0.0612
Na2 Na 0.3311 0.5612 0.4287
Na3 Na 0.9388 0.3675 0.2699
Na4 Na 0.5612 0.2301 0.1325
Na5 Na 0.5976 0.7301 0.6689
Na6 Na 0.9388 0.5713 0.1689
Na7 Na 0.3311 0.7699 0.4024
Na8 Na 0.0713 0.9024 0.1325
Na9 Na 0.5713 0.9388 0.6689
Na10 Na 0.7301 0.5976 0.1689
Na11 Na 0.7699 0.4388 0.3675
Na12 Na 0.8311 0.9287 0.0612
Na13 Na 0.1325 0.7301 0.5612
Na14 Na 0.3675 0.4287 0.0976
Na15 Na 0.0976 0.9287 0.3675
Na16 Na 0.4024 0.1325 0.5713
Na17 Na 0.0976 0.1689 0.2301
Na18 Na 0.4388 0.6689 0.0713
Na19 Na 0.8311 0.9024 0.2699
Na20 Na 0.1325 0.4024 0.0713
Na21 Na 0.3675 0.9388 0.7699
Na22 Na 0.5713 0.6325 0.4024
Na23 Na 0.9287 0.8311 0.5612
Na24 Na 0.7699 0.3311 0.9024
Na25 Na 0.4287 0.3675 0.5976
Na26 Na 0.0713 0.1689 0.4388
Na27 Na 0.2301 0.6689 0.0976
Na28 Na 0.1689 0.0976 0.7301
Na29 Na 0.6325 0.0612 0.2301
Na30 Na 0.8675 0.5976 0.9287
Na31 Na 0.5612 0.3311 0.9287
Na32 Na 0.5976 0.8675 0.4287
Na33 Na 0.9024 0.8311 0.7699
Na34 Na 0.9024 0.0713 0.6325
Na35 Na 0.8675 0.2699 0.4388
Na36 Na 0.1689 0.0713 0.9388
Na37 Na 0.6325 0.5713 0.9024
Na38 Na 0.4287 0.0612 0.3311
Na39 Na 0.2699 0.4024 0.8311
Na40 Na 0.2301 0.5612 0.6325
Na41 Na 0.9287 0.0976 0.8675
Na42 Na 0.6689 0.2301 0.5976
Na43 Na 0.4388 0.7699 0.8675
Na44 Na 0.0612 0.4287 0.8311
Na45 Na 0.4024 0.2699 0.3311
Na46 Na 0.0612 0.6325 0.7301
Na47 Na 0.6689 0.4388 0.5713
Na48 Na 0.2699 0.8675 0.9388